No. 1
The following is a DFT calculation (PBE) of crystalline Er6TeP3S2 at its relaxed geometry.

Unit cell a=3.9812 b=8.0577 c=8.9685 alpha=103.66 beta=102.82 gamma=90.00
Closest atoms and distances in Å follow each position.
Sites, in units of the cell vectors:
Er 0.3231 0.9189 0.6462  3 P 2.70-2.80, 2 S 2.88, 1 Te 3.00
Er 0.6649 0.5890 0.3297  3 P 2.79-2.80, 3 S 2.83-2.87
Er 0.6769 0.0811 0.3538  3 P 2.70-2.80, 2 S 2.88, 1 Te 3.00
Er 0.9990 0.2762 0.9980  3 P 2.68-2.78, 1 S 2.89, 2 Te 2.99
Er 0.0010 0.7238 0.0020  3 P 2.68-2.78, 1 S 2.89, 2 Te 2.99
Er 0.3351 0.4110 0.6703  3 P 2.79-2.80, 3 S 2.83-2.87
Te 0.5000 0.0000 0.0000  6 Er 2.99-3.00
P 0.5000 0.5000 0.0000  6 Er 2.68-2.80
P 0.8358 0.1690 0.6715  6 Er 2.70-2.80
P 0.1642 0.8310 0.3285  6 Er 2.70-2.80
S 0.8314 0.6649 0.6629  6 Er 2.83-2.89
S 0.1686 0.3351 0.3371  6 Er 2.83-2.89

Properties
Raw formation energy = -1.7096 eV per atom
SG = C2/m
VASP energy = -6.29 eV/atom


No. 2
The following is a DFT calculation (PBE) of crystalline Er8Te3PS3 at its relaxed geometry.

Unit cell a=7.9978 b=7.9972 c=8.2675 alpha=118.93 beta=90.00 gamma=120.00
Closest atoms and distances in Å follow each position.
Sites, in units of the cell vectors:
Er 0.2668 0.5336 0.3005  3 S 2.68
Er 0.7332 0.4664 0.6995  3 S 2.68
Er 0.7627 0.5254 0.2897  2 S 2.72, 1 P 2.73
Er 0.2373 0.4746 0.7103  2 S 2.72, 1 P 2.73
Er 0.7627 0.0270 0.2897  2 S 2.72, 1 P 2.73
Er 0.2373 0.9730 0.7103  2 S 2.72, 1 P 2.73
Er 0.2642 0.0270 0.2897  2 S 2.72, 1 P 2.73
Er 0.7358 0.9730 0.7103  2 S 2.72, 1 P 2.73
Te 0.0000 0.0000 0.0000  6 Er 3.05-3.09
Te 0.0000 0.5000 0.0000  6 Er 3.05-3.09
Te 0.5000 0.5000 0.0000  6 Er 3.05-3.09
P 0.0000 0.0000 0.5000  6 Er 2.73
S 0.5000 0.0000 0.5000  6 Er 2.68-2.72
S 0.5000 0.5000 0.5000  6 Er 2.68-2.72
S 0.0000 0.5000 0.5000  6 Er 2.68-2.72

Properties
Raw formation energy = -1.4859 eV per atom
SG = R-3m
VASP energy = -5.73 eV/atom


No. 3
The following is a DFT calculation (PBE) of crystalline Er6TeP2S3 at its relaxed geometry.

Unit cell a=3.9671 b=8.0103 c=8.8761 alpha=102.23 beta=102.91 gamma=90.00
Closest atoms and distances in Å follow each position.
Sites, in units of the cell vectors:
Er 0.3223 0.8959 0.6446  3 S 2.71-2.90, 2 P 2.75, 1 Te 3.01
Er 0.6694 0.5781 0.3387  3 P 2.75-2.77, 3 S 2.86-2.88
Er 0.6777 0.1041 0.3554  3 S 2.71-2.90, 2 P 2.75, 1 Te 3.01
Er 0.0058 0.2821 0.0115  3 S 2.66-2.85, 1 P 2.74
Er 0.9942 0.7179 0.9885  3 S 2.66-2.85, 1 P 2.74
Er 0.3306 0.4219 0.6613  3 P 2.75-2.77, 3 S 2.86-2.88
Te 0.5000 0.0000 0.0000  6 Er 2.99-3.01
P 0.8322 0.6645 0.6644  6 Er 2.74-2.77
P 0.1678 0.3355 0.3356  6 Er 2.74-2.77
S 0.5000 0.5000 0.0000  6 Er 2.66-2.86
S 0.8379 0.1651 0.6759  6 Er 2.71-2.90
S 0.1621 0.8349 0.3241  6 Er 2.71-2.90

Properties
Raw formation energy = -1.7462 eV per atom
SG = C2/m
VASP energy = -6.22 eV/atom


No. 4
The following is a DFT calculation (PBE) of crystalline Er4TePS2 at its relaxed geometry.

Unit cell a=3.9767 b=6.8843 c=7.0735 alpha=70.97 beta=90.00 gamma=90.00
Closest atoms and distances in Å follow each position.
Sites, in units of the cell vectors:
Er 0.0000 0.7735 0.7140  3 S 2.67-2.93, 1 P 2.77
Er 0.0000 0.2265 0.2860  3 S 2.67-2.93, 1 P 2.77
Er 0.5000 0.7537 0.2732  3 S 2.69-2.90, 2 P 2.78, 1 Te 3.00
Er 0.5000 0.2463 0.7268  3 S 2.69-2.90, 2 P 2.78, 1 Te 3.00
Te 0.5000 0.5000 0.0000  6 Er 3.00-3.02
P 0.0000 0.5000 0.5000  6 Er 2.77-2.78
S 0.0000 0.0000 0.0000  6 Er 2.90-2.93
S 0.5000 0.0000 0.5000  6 Er 2.67-2.69

Properties
Raw formation energy = -1.6952 eV per atom
SG = P2/m
VASP energy = -6.08 eV/atom


No. 5
The following is a DFT calculation (PBE) of crystalline Er8Te4PS3 at its relaxed geometry.

Unit cell a=8.0976 b=8.3419 c=8.0976 alpha=119.04 beta=120.00 gamma=90.00
Closest atoms and distances in Å follow each position.
Sites, in units of the cell vectors:
Er 0.2332 0.7033 0.9701  1 P 2.71, 2 S 2.73
Er 0.2332 0.7033 0.4663  1 P 2.71, 2 S 2.73
Er 0.2658 0.2975 0.5317  3 S 2.72
Er 0.7369 0.7033 0.9701  1 P 2.71, 2 S 2.73
Er 0.2631 0.2967 0.0299  1 P 2.71, 2 S 2.73
Er 0.7342 0.7025 0.4683  3 S 2.72
Er 0.7668 0.2967 0.5337  1 P 2.71, 2 S 2.73
Er 0.7668 0.2967 0.0299  1 P 2.71, 2 S 2.73
Te 0.5000 0.0000 0.0000  6 Er 3.12
Te 0.5000 0.0000 0.5000  6 Er 3.10-3.11
Te 0.0000 0.0000 0.0000  6 Er 3.10-3.11
Te 0.0000 0.0000 0.5000  6 Er 3.10-3.11
P 0.0000 0.5000 0.0000  6 Er 2.71
S 0.5000 0.5000 0.0000  6 Er 2.72-2.73
S 0.5000 0.5000 0.5000  6 Er 2.72-2.73
S 0.0000 0.5000 0.5000  6 Er 2.72-2.73

Properties
Raw formation energy = -1.5953 eV per atom
SG = R-3m
VASP energy = -5.77 eV/atom


No. 6
The following is a DFT calculation (PBE) of crystalline Er8Tl3P3S at its relaxed geometry.

Unit cell a=7.7425 b=7.7342 c=8.8246 alpha=116.03 beta=90.02 gamma=119.99
Closest atoms and distances in Å follow each position.
Sites, in units of the cell vectors:
Er 0.2656 0.5312 0.2968  3 P 2.71-2.72
Er 0.7344 0.4688 0.7032  3 P 2.71-2.72
Er 0.7622 0.5246 0.2916  2 P 2.73, 1 S 2.75
Er 0.2378 0.4754 0.7084  2 P 2.73, 1 S 2.75
Er 0.7623 0.0287 0.2917  2 P 2.73, 1 S 2.75
Er 0.2377 0.9713 0.7083  2 P 2.73, 1 S 2.75
Er 0.2665 0.0288 0.2917  2 P 2.73, 1 S 2.75
Er 0.7335 0.9712 0.7083  2 P 2.73, 1 S 2.75
Tl 0.0000 0.0000 0.0000  6 Er 3.16-3.17
Tl 0.0000 0.5000 0.0000  6 Er 3.15-3.18
Tl 0.5000 0.5000 0.0000  6 Er 3.15-3.18
P 0.5000 0.0000 0.5000  6 Er 2.71-2.73
P 0.5000 0.5000 0.5000  6 Er 2.72-2.73
P 0.0000 0.5000 0.5000  6 Er 2.72-2.73
S 0.0000 0.0000 0.5000  6 Er 2.75

Properties
Raw formation energy = -0.9751 eV per atom
SG = C2/m
VASP energy = -5.24 eV/atom


No. 7
The following is a DFT calculation (PBE) of crystalline Er6TlP2S3 at its relaxed geometry.

Unit cell a=3.9340 b=8.1004 c=8.9248 alpha=102.76 beta=102.73 gamma=90.00
Closest atoms and distances in Å follow each position.
Sites, in units of the cell vectors:
Er 0.3271 0.9038 0.6541  3 S 2.71-2.90, 2 P 2.78, 1 Tl 2.93
Er 0.6704 0.5775 0.3408  3 P 2.75-2.77, 3 S 2.85-2.89
Er 0.6729 0.0962 0.3459  3 S 2.71-2.90, 2 P 2.78, 1 Tl 2.93
Er 0.0021 0.2715 0.0041  3 S 2.71-2.88, 1 P 2.81, 2 Tl 2.94
Er 0.9979 0.7285 0.9959  3 S 2.71-2.88, 1 P 2.81, 2 Tl 2.94
Er 0.3296 0.4225 0.6592  3 P 2.75-2.77, 3 S 2.85-2.89
Tl 0.5000 0.0000 0.0000  6 Er 2.93-2.94
P 0.8323 0.6637 0.6646  6 Er 2.75-2.81
P 0.1677 0.3363 0.3354  6 Er 2.75-2.81
S 0.5000 0.5000 0.0000  6 Er 2.71-2.89
S 0.8325 0.1688 0.6650  6 Er 2.71-2.90
S 0.1675 0.8312 0.3350  6 Er 2.71-2.90

Properties
Raw formation energy = -1.5419 eV per atom
SG = C2/m
VASP energy = -5.95 eV/atom


No. 8
The following is a DFT calculation (PBE) of crystalline Er8Tl4PS3 at its relaxed geometry.

Unit cell a=7.6231 b=9.0080 c=7.6255 alpha=115.01 beta=119.99 gamma=90.00
Closest atoms and distances in Å follow each position.
Sites, in units of the cell vectors:
Er 0.2327 0.7012 0.9681  1 P 2.70, 2 S 2.72
Er 0.2327 0.7013 0.4654  1 P 2.70, 2 S 2.72
Er 0.2660 0.2975 0.5320  3 S 2.72
Er 0.7354 0.7012 0.9681  1 P 2.70, 2 S 2.72
Er 0.2646 0.2988 0.0319  1 P 2.70, 2 S 2.72
Er 0.7340 0.7025 0.4680  3 S 2.72
Er 0.7673 0.2987 0.5346  1 P 2.70, 2 S 2.72
Er 0.7673 0.2988 0.0319  1 P 2.70, 2 S 2.72
Tl 0.5000 0.0000 0.0000  6 Er 3.23
Tl 0.5000 0.0000 0.5000  6 Er 3.21-3.22
Tl 0.0000 0.0000 0.0000  6 Er 3.21-3.22
Tl 0.0000 0.0000 0.5000  6 Er 3.21-3.22
P 0.0000 0.5000 0.0000  6 Er 2.70
S 0.5000 0.5000 0.0000  6 Er 2.72
S 0.5000 0.5000 0.5000  6 Er 2.72
S 0.0000 0.5000 0.5000  6 Er 2.72

Properties
Raw formation energy = -1.1155 eV per atom
SG = R-3m
VASP energy = -5.10 eV/atom


No. 9
The following is a DFT calculation (PBE) of crystalline ErTlP2S8 at its relaxed geometry.

Unit cell a=6.1528 b=6.1528 c=9.7808 alpha=71.67 beta=71.67 gamma=60.00
Closest atoms and distances in Å follow each position.
Sites, in units of the cell vectors:
Er 0.0000 0.0000 0.0000  6 S 2.75
Tl 0.5000 0.5000 0.5000  12 S 3.56-3.57
P 0.2548 0.2548 0.2355  4 S 2.03-2.05
P 0.7452 0.7452 0.7645  4 S 2.03-2.05
S 0.1804 0.1804 0.4588  1 P 2.03
S 0.5771 0.3110 0.1721  1 P 2.05
S 0.8196 0.8196 0.5412  1 P 2.03
S 0.9397 0.5771 0.1721  1 P 2.05
S 0.0603 0.4229 0.8279  1 P 2.05
S 0.3110 0.9397 0.1721  1 P 2.05
S 0.6890 0.0603 0.8279  1 P 2.05
S 0.4229 0.6890 0.8279  1 P 2.05

Properties
Raw formation energy = -0.4400 eV per atom
SG = R-3
VASP energy = -4.67 eV/atom


Number 5 is which compound? Er8Te4PS3


What did the ninth record say?
The following is a DFT calculation (PBE) of crystalline ErTlP2S8 at its relaxed geometry.

Unit cell a=6.1528 b=6.1528 c=9.7808 alpha=71.67 beta=71.67 gamma=60.00
Closest atoms and distances in Å follow each position.
Sites, in units of the cell vectors:
Er 0.0000 0.0000 0.0000  6 S 2.75
Tl 0.5000 0.5000 0.5000  12 S 3.56-3.57
P 0.2548 0.2548 0.2355  4 S 2.03-2.05
P 0.7452 0.7452 0.7645  4 S 2.03-2.05
S 0.1804 0.1804 0.4588  1 P 2.03
S 0.5771 0.3110 0.1721  1 P 2.05
S 0.8196 0.8196 0.5412  1 P 2.03
S 0.9397 0.5771 0.1721  1 P 2.05
S 0.0603 0.4229 0.8279  1 P 2.05
S 0.3110 0.9397 0.1721  1 P 2.05
S 0.6890 0.0603 0.8279  1 P 2.05
S 0.4229 0.6890 0.8279  1 P 2.05

Properties
Raw formation energy = -0.4400 eV per atom
SG = R-3
VASP energy = -4.67 eV/atom